Compound: LaTa2Nb
Source: the Alexandria database
Functional: meta-GGA SCAN
Structure: single point on PBEsol structure Values from VASP.

Geometry as Quantum ESPRESSO input:
```
&SYSTEM
  ibrav = 0, nat = 4, ntyp = 3
/
ATOMIC_SPECIES
La 138.91 La.upf
Ta 180.95 Ta.upf
Nb 92.91 Nb.upf
CELL_PARAMETERS angstrom
0.0000 3.4157 3.4157
3.4157 0.0000 3.4157
3.4157 3.4157 0.0000
ATOMIC_POSITIONS crystal
La 0.0000 0.0000 0.0000
Ta 0.2500 0.2500 0.2500
Ta 0.7500 0.7500 0.7500
Nb 0.5000 0.5000 0.5000
```

The calculation puts the energy of formation at 2.18 eV per formula unit. As for the space group: Fm-3m. The calculation puts the total moment at 0.0 μB/f.u. The volume is 79.7 Å³/cell.

***

Compound: TlFe2Ag
Source: the Alexandria database
Functional: meta-GGA SCAN
Structure: single point on PBEsol structure Values from VASP.

Geometry as Quantum ESPRESSO input:
```
&SYSTEM
  ibrav = 0, nat = 4, ntyp = 3
/
ATOMIC_SPECIES
Tl 204.38 Tl.upf
Fe 55.84 Fe.upf
Ag 107.87 Ag.upf
CELL_PARAMETERS angstrom
4.9778 -1.5386 0.0000
4.9778 1.5386 0.0000
-2.0282 0.0000 4.0180
ATOMIC_POSITIONS crystal
Tl 0.0000 0.0000 0.0000
Fe 0.4634 0.4634 0.4635
Fe 0.7664 0.7664 0.2655
Ag 0.2242 0.2242 0.7233
```

The calculation puts the energy of formation at 1.66 eV per formula unit. As for the space group: Cm. The calculation puts the total moment at 5.6 μB/f.u. The value obtained for the energy above the most stable polymorph in this dataset is 102 meV per atom. The volume is 61.5 Å³/cell.

***

Compound: LiSi3Cl
Source: the Alexandria database
Functional: meta-GGA SCAN
Structure: single point on PBEsol structure Values from VASP.

Geometry as Quantum ESPRESSO input:
```
&SYSTEM
  ibrav = 0, nat = 5, ntyp = 3
/
ATOMIC_SPECIES
Li 6.94 Li.upf
Si 28.09 Si.upf
Cl 35.45 Cl.upf
CELL_PARAMETERS angstrom
4.4901 0.0000 0.0000
0.0000 4.4901 0.0000
0.0000 0.0000 4.4901
ATOMIC_POSITIONS crystal
Li 0.0000 0.0000 0.0000
Si 0.0000 0.0000 0.5000
Si 0.0000 0.5000 0.0000
Si 0.5000 0.0000 0.0000
Cl 0.5000 0.5000 0.5000
```

As for the space group: Pm-3m. The calculation puts the total moment at 0.7 μB/f.u. As for the formation energy (no corrections): 1004 meV/atom. The volume is 90.5 Å³/cell.

***

Compound: Ag4Ru
Source: the Alexandria database
Functional: meta-GGA SCAN
Structure: single point on PBEsol structure Values from VASP.

Geometry as Quantum ESPRESSO input:
```
&SYSTEM
  ibrav = 0, nat = 5, ntyp = 2
/
ATOMIC_SPECIES
Ag 107.87 Ag.upf
Ru 101.07 Ru.upf
CELL_PARAMETERS angstrom
-1.8169 1.8169 6.8025
1.8169 -1.8169 6.8025
1.8169 1.8169 -6.8025
ATOMIC_POSITIONS crystal
Ag 0.0954 0.0954 0.0000
Ag 0.2500 0.7500 0.5000
Ag 0.7500 0.2500 0.5000
Ag 0.9046 0.9046 0.0000
Ru 0.5000 0.5000 0.0000
```

The calculation puts the energy of formation at 3.77 eV per formula unit. As for the space group: I4/mmm. The calculation puts the total moment at 2.3 μB/f.u. The volume is 89.8 Å³/cell.

***

Compound: Mn2InPt
Source: the Alexandria database
Functional: meta-GGA SCAN
Structure: single point on PBEsol structure Values from VASP.

Geometry as Quantum ESPRESSO input:
```
&SYSTEM
  ibrav = 0, nat = 4, ntyp = 3
/
ATOMIC_SPECIES
Mn 54.94 Mn.upf
In 114.82 In.upf
Pt 195.08 Pt.upf
CELL_PARAMETERS angstrom
-1.9579 1.9579 3.9886
1.9579 -1.9579 3.9886
1.9579 1.9579 -3.9886
ATOMIC_POSITIONS crystal
Mn 0.0000 0.0000 0.0000
Mn 0.7500 0.2500 0.5000
In 0.2500 0.7500 0.5000
Pt 0.5000 0.5000 0.0000
```

The calculation puts the energy of formation at -1.72 eV per formula unit. As for the space group: I-4m2. The calculation puts the total moment at 8.0 μB/f.u. The volume is 61.2 Å³/cell.

***

Compound: MnSeO2F
Source: the Alexandria database
Functional: meta-GGA SCAN
Structure: single point on PBEsol structure Values from VASP.

Geometry as Quantum ESPRESSO input:
```
&SYSTEM
  ibrav = 0, nat = 5, ntyp = 4
/
ATOMIC_SPECIES
Mn 54.94 Mn.upf
Se 78.96 Se.upf
O 16.00 O.upf
F 19.00 F.upf
CELL_PARAMETERS angstrom
3.8936 0.0000 0.0000
0.0000 3.8936 0.0000
0.0000 0.0000 4.3656
ATOMIC_POSITIONS crystal
Mn 0.0000 0.0000 0.0000
Se 0.5000 0.5000 0.5000
O 0.0000 0.5000 0.5000
O 0.5000 0.0000 0.5000
F 0.5000 0.5000 0.0000
```

As for the space group: P4/mmm. The calculation puts the total moment at 5.3 μB/f.u. As for the formation energy (no corrections): -593 meV/atom. The volume is 66.2 Å³/cell.

***

no.,DOS at the Fermi energy (states/eV/atom)
1,1.548
2,0.496
3,0.795
4,0.552
5,0.633
6,0.276